[1]
A plane-wave DFT calculation with PBE was carried out for a relaxed BaSb2P crystal.

Results
**VASP energy**: -0.1515 Ha/atom
**Space group**: Imm2 (44)
**Volume**: 29.63 A^3/atom
**Uncorrected formation energy**: -0.23 eV per atom

Geometry as POSCAR:
```
BaSb2P
1.0
-1.955 2.983 5.080
1.955 -2.983 5.080
1.955 2.983 -5.080
Sb Ba P
2 1 1
direct
0.967 0.967 0.000
0.224 0.724 0.500
0.520 0.520 0.000
0.790 0.290 0.500
```

[2]
A plane-wave DFT calculation with PBE was carried out for a relaxed BaSbP crystal.

Results
**VASP energy**: -0.1509 Ha/atom
**Space group**: F-43m (216)
**Volume**: 33.01 A^3/atom
**Uncorrected formation energy**: -0.29 eV per atom
**Distance to the lowest polymorph of the same formula**: 0.451 eV/atom

Geometry as POSCAR:
```
BaSbP
1.0
0.000 3.672 3.672
3.672 0.000 3.672
3.672 3.672 0.000
Ba P Sb
1 1 1
direct
0.500 0.500 0.500
0.750 0.750 0.750
0.000 0.000 0.000
```

[3]
A plane-wave DFT calculation with PBE was carried out for a relaxed BaSb2P crystal.

Results
**VASP energy**: -0.1579 Ha/atom
**Space group**: C2/m (12)
**Volume**: 29.82 A^3/atom
**Uncorrected formation energy**: -0.40 eV per atom

Geometry as POSCAR:
```
BaSb2P
1.0
1.972 5.660 0.000
-1.972 5.660 0.000
0.000 2.118 5.345
Sb P Ba
2 1 1
direct
0.200 0.200 0.863
0.800 0.800 0.137
0.500 0.500 0.000
0.000 0.000 0.500
```

Number 1: DOS at the Fermi energy 2.93 states/eV/f.u.. Number 2: DOS at the Fermi energy 1.12 states/eV/f.u.. Number 3: DOS at the Fermi energy 1.39 states/eV/f.u..